Below is crystalline Ca2ZnSn4Ir3 at its relaxed geometry, with properties calculated at the GGA-PBE level.

Calculated values
- Energy: -5.168 eV/atom
- Calculated volume: 22.3 Å³/atom
- Total moment: 0.0 μB per formula unit
- Fermi-level density of states: 0.6173 states/eV per atom
- E_form: -368 kJ/mol of formula units

abc: 4.4389 4.4389 11.3187
angles: 90.00 90.00 90.00
Last column: nearest neighbours and their distance in Å.
Positions (direct):
Ca (0.5000, 0.0000, 0.2489)  8 Sn 3.40-3.59, 6 Ir 3.41-3.61, 2 Zn 3.61
Ca (0.0000, 0.5000, 0.7511)  8 Sn 3.40-3.59, 6 Ir 3.41-3.61, 2 Zn 3.61
Sn (0.0000, 0.0000, 0.0000)  4 Ir 2.68
Sn (0.5000, 0.0000, 0.6359)  3 Ir 2.63-2.70, 2 Zn 2.70
Sn (0.0000, 0.5000, 0.3641)  3 Ir 2.63-2.70, 2 Zn 2.70
Sn (0.5000, 0.5000, 0.0000)  4 Ir 2.68
Ir (0.5000, 0.0000, 0.8679)  5 Sn 2.63-2.68
Ir (0.0000, 0.0000, 0.5000)  4 Sn 2.70
Ir (0.0000, 0.5000, 0.1321)  5 Sn 2.63-2.68
Zn (0.5000, 0.5000, 0.5000)  4 Sn 2.70

=====

Below is crystalline CeTh6In2 at its relaxed geometry, with properties calculated at the GGA-PBE level.

Calculated values
- Energy: -5.639 eV/atom
- Calculated volume: 35.8 Å³/atom
- Total moment: 0.0 μB per formula unit
- Fermi-level density of states: 2.0781 states/eV per atom
- E_form: 500 kJ/mol of formula units

abc: 7.9226 7.9226 10.2761
angles: 90.00 90.00 90.00
Last column: nearest neighbours and their distance in Å.
Positions (direct):
Th (0.7748, 0.2252, 0.6739)  1 Ce 3.09, 2 In 3.10-3.16, 1 Th 3.37
Th (0.2449, 0.2449, 0.5000)  1 Ce 2.74
Th (0.2748, 0.2748, 0.8261)  1 Ce 3.09, 2 In 3.10-3.16, 1 Th 3.37
Th (0.7551, 0.7551, 0.5000)  1 Ce 2.74
Th (0.2252, 0.7748, 0.6739)  1 Ce 3.09, 2 In 3.10-3.16, 1 Th 3.37
Th (0.2748, 0.2748, 0.1739)  1 Ce 3.09, 2 In 3.10-3.16, 1 Th 3.37
Th (0.7449, 0.2551, 0.0000)  1 Ce 2.74
Th (0.7252, 0.7252, 0.8261)  1 Ce 3.09, 2 In 3.10-3.16, 1 Th 3.37
Th (0.2551, 0.7449, 0.0000)  1 Ce 2.74
Th (0.7748, 0.2252, 0.3261)  1 Ce 3.09, 2 In 3.10-3.16, 1 Th 3.37
Th (0.7252, 0.7252, 0.1739)  1 Ce 3.09, 2 In 3.10-3.16, 1 Th 3.37
Th (0.2252, 0.7748, 0.3261)  1 Ce 3.09, 2 In 3.10-3.16, 1 Th 3.37
Ce (0.0000, 0.0000, 0.5000)  2 Th 2.74
Ce (0.5000, 0.5000, 0.0000)  2 Th 2.74
In (0.0000, 0.0000, 0.1408)  1 In 2.89, 6 Th 3.10-3.20
In (0.5000, 0.5000, 0.3592)  1 In 2.89, 6 Th 3.10-3.20
In (0.5000, 0.5000, 0.6408)  1 In 2.89, 6 Th 3.10-3.20
In (0.0000, 0.0000, 0.8592)  1 In 2.89, 6 Th 3.10-3.20

=====

Below is crystalline SrIrW at its relaxed geometry, with properties calculated at the GGA-PBE level.

Calculated values
- Energy: -6.845 eV/atom
- Distance to the lowest polymorph of the same formula: 696.9 meV per atom
- Calculated volume: 23.2 Å³/atom
- Total moment: 0.0 μB per formula unit
- Fermi-level density of states: 1.0433 states/eV per atom
- E_form: 286 kJ/mol of formula units

abc: 4.6200 4.6200 4.6200
angles: 60.00 60.00 60.00
Last column: nearest neighbours and their distance in Å.
Positions (direct):
Ir (0.7500, 0.7500, 0.7500)  4 W 2.83, 4 Sr 2.83
Sr (0.0000, 0.0000, 0.0000)  4 Ir 2.83
W (0.5000, 0.5000, 0.5000)  4 Ir 2.83

=====

Below is crystalline NpAgSnPt at its relaxed geometry, with properties calculated at the GGA-PBE level.

Calculated values
- Energy: -6.653 eV/atom
- Calculated volume: 21.0 Å³/atom
- Total moment: 3.7 μB per formula unit
- Fermi-level density of states: 2.3470 states/eV per atom
- E_form: -75 kJ/mol of formula units

abc: 4.9138 4.9138 4.9138
angles: 60.00 60.00 60.00
Last column: nearest neighbours and their distance in Å.
Positions (direct):
Ag (0.2500, 0.2500, 0.2500)  4 Sn 3.01, 4 Np 3.01
Sn (0.5000, 0.5000, 0.5000)  4 Pt 3.01, 4 Ag 3.01
Np (0.0000, 0.0000, 0.0000)  4 Ag 3.01, 4 Pt 3.01
Pt (0.7500, 0.7500, 0.7500)  4 Sn 3.01, 4 Np 3.01

=====

Below is crystalline La2P3Au3 at its relaxed geometry, with properties calculated at the GGA-PBE level.

Calculated values
- Energy: -5.277 eV/atom
- Calculated volume: 23.7 Å³/atom
- Total moment: 0.0 μB per formula unit
- Fermi-level density of states: 0.1224 states/eV per atom
- E_form: -608 kJ/mol of formula units

abc: 8.0067 7.3906 7.3906
angles: 60.00 90.00 90.00
Last column: nearest neighbours and their distance in Å.
Positions (direct):
Au (0.7500, 0.7602, 0.0000)  2 P 2.44
Au (0.2500, 0.0000, 0.7602)  2 P 2.44
Au (0.7500, 0.2398, 0.7602)  2 P 2.44
Au (0.2500, 0.7602, 0.2398)  2 P 2.44
Au (0.7500, 0.0000, 0.2398)  2 P 2.44
Au (0.2500, 0.2398, 0.0000)  2 P 2.44
La (0.5000, 0.6667, 0.6667)  6 P 3.06
La (0.0000, 0.3333, 0.3333)  6 P 3.06
La (0.5000, 0.3333, 0.3333)  6 P 3.06
La (0.0000, 0.6667, 0.6667)  6 P 3.06
P (0.2500, 0.6227, 0.0000)  2 Au 2.44
P (0.2500, 0.0000, 0.3773)  2 Au 2.44
P (0.7500, 0.6227, 0.3773)  2 Au 2.44
P (0.7500, 0.3773, 0.0000)  2 Au 2.44
P (0.7500, 0.0000, 0.6227)  2 Au 2.44
P (0.2500, 0.3773, 0.6227)  2 Au 2.44

=====

Below is crystalline Ac4YP5 at its relaxed geometry, with properties calculated at the GGA-PBE level.

Calculated values
- Energy: -6.440 eV/atom
- Calculated volume: 29.7 Å³/atom
- Total moment: 0.0 μB per formula unit
- Fermi-level density of states: 0.1594 states/eV per atom
- E_form: -1394 kJ/mol of formula units

abc: 4.3858 4.3858 15.7300
angles: 98.01 98.01 90.00
Last column: nearest neighbours and their distance in Å.
Positions (direct):
P (0.5000, 0.5000, 0.0000)  2 Ac 2.98, 4 Y 3.10
P (0.3006, 0.3006, 0.6011)  6 Ac 3.10-3.17
P (0.6994, 0.6994, 0.3989)  6 Ac 3.10-3.17
P (0.9057, 0.9057, 0.8114)  1 Y 2.91, 5 Ac 3.10-3.21
P (0.0943, 0.0943, 0.1887)  1 Y 2.91, 5 Ac 3.10-3.21
Ac (0.8015, 0.8015, 0.6029)  6 P 3.10-3.21
Ac (0.5968, 0.5968, 0.1935)  6 P 2.98-3.17
Ac (0.1985, 0.1985, 0.3971)  6 P 3.10-3.21
Ac (0.4032, 0.4032, 0.8065)  6 P 2.98-3.17
Y (0.0000, 0.0000, 0.0000)  6 P 2.91-3.10

=====

Below is crystalline Rb4AcCe3Se8 at its relaxed geometry, with properties calculated at the GGA-PBE level.

Calculated values
- Energy: -5.053 eV/atom
- Uncorrected formation energy: -1.699 eV per atom
- Calculated volume: 34.6 Å³/atom
- Total moment: 3.0 μB per formula unit
- Fermi-level density of states: 1.0965 states/eV per atom

abc: 8.9381 9.5190 8.9387
angles: 118.03 120.00 90.00
Last column: nearest neighbours and their distance in Å.
Positions (direct):
Rb (0.5000, 0.0000, 0.0000)  6 Se 3.45-3.46
Rb (0.0000, 0.0000, 0.0000)  6 Se 3.53-3.54
Rb (0.0000, 0.0000, 0.5000)  6 Se 3.53-3.54
Rb (0.5000, 0.0000, 0.5000)  6 Se 3.53-3.54
Se (0.2673, 0.3023, 0.5347)  3 Ce 3.03
Se (0.7248, 0.7025, 0.9639)  2 Ce 3.02, 1 Ac 3.11
Se (0.7610, 0.2975, 0.5220)  2 Ce 3.02, 1 Ac 3.11
Se (0.7609, 0.2975, 0.0361)  2 Ce 3.02, 1 Ac 3.11
Se (0.2390, 0.7025, 0.4780)  2 Ce 3.02, 1 Ac 3.11
Se (0.2752, 0.2975, 0.0361)  2 Ce 3.02, 1 Ac 3.11
Se (0.2391, 0.7025, 0.9639)  2 Ce 3.02, 1 Ac 3.11
Se (0.7327, 0.6977, 0.4653)  3 Ce 3.03
Ac (0.0000, 0.5000, 0.0000)  6 Se 3.11
Ce (0.5000, 0.5000, 0.0000)  6 Se 3.02-3.03
Ce (0.5000, 0.5000, 0.5000)  6 Se 3.02-3.03
Ce (0.0000, 0.5000, 0.5000)  6 Se 3.02-3.03

=====

Below is crystalline Ba2Mg2Hg at its relaxed geometry, with properties calculated at the GGA-PBE level.

Calculated values
- Energy: -1.686 eV/atom
- Distance to the lowest polymorph of the same formula: 0.0 meV per atom
- Calculated volume: 36.3 Å³/atom
- Total moment: 0.0 μB per formula unit
- Fermi-level density of states: 0.9278 states/eV per atom
- E_form: -105 kJ/mol of formula units

abc: 7.4187 7.2076 8.3952
angles: 106.59 90.00 120.97
Last column: nearest neighbours and their distance in Å.
Positions (direct):
Ba (0.2530, 0.6663, 0.8505)  3 Hg 3.64-4.04, 5 Mg 3.71-3.81
Ba (0.5867, 0.3337, 0.6495)  3 Hg 3.64-4.04, 5 Mg 3.71-3.81
Ba (0.7470, 0.3337, 0.1495)  3 Hg 3.64-4.04, 5 Mg 3.71-3.81
Ba (0.4133, 0.6663, 0.3505)  3 Hg 3.64-4.04, 5 Mg 3.71-3.81
Mg (0.9702, 0.1713, 0.4513)  2 Hg 2.95-3.11, 1 Mg 3.04
Mg (0.0298, 0.8287, 0.5487)  2 Hg 2.95-3.11, 1 Mg 3.04
Mg (0.2010, 0.1713, 0.9513)  2 Hg 2.95-3.11, 1 Mg 3.04
Mg (0.7990, 0.8287, 0.0487)  2 Hg 2.95-3.11, 1 Mg 3.04
Hg (0.2119, 0.0000, 0.2500)  4 Mg 2.95-3.11
Hg (0.7881, 0.0000, 0.7500)  4 Mg 2.95-3.11

=====

Below is crystalline MgCuBi2N at its relaxed geometry, with properties calculated at the GGA-PBE level.

Calculated values
- Energy: -3.447 eV/atom
- Uncorrected formation energy: 0.908 eV per atom
- Calculated volume: 23.5 Å³/atom
- Total moment: 0.0 μB per formula unit
- Fermi-level density of states: 0.7988 states/eV per atom

abc: 5.6278 5.6278 3.7159
angles: 90.00 90.00 90.00
Last column: nearest neighbours and their distance in Å.
Positions (direct):
N (0.0000, 0.0000, 0.5000)  2 Mg 1.86
Mg (0.0000, 0.0000, 0.0000)  2 N 1.86
Cu (0.5000, 0.5000, 0.5000)  8 Bi 3.37, 2 Cu 3.72
Bi (0.0000, 0.5000, 0.0000)  2 Mg 2.81
Bi (0.5000, 0.0000, 0.0000)  2 Mg 2.81

=====

Below is crystalline ZnCu2Sb at its relaxed geometry, with properties calculated at the GGA-PBE level.

Calculated values
- Energy: -3.254 eV/atom
- Distance to the lowest polymorph of the same formula: 52.9 meV per atom
- Uncorrected formation energy: 0.144 eV per atom
- Calculated volume: 16.1 Å³/atom
- Total moment: 0.0 μB per formula unit
- Fermi-level density of states: 0.2711 states/eV per atom

abc: 4.8855 4.8855 4.8855
angles: 131.36 131.36 71.25
Last column: nearest neighbours and their distance in Å.
Positions (direct):
Cu (0.0001, 0.0001, 0.0000)  4 Sb 2.83, 4 Zn 2.83, 4 Cu 2.85
Cu (0.4999, 0.4999, 0.0000)  4 Sb 2.83, 4 Zn 2.83, 4 Cu 2.85
Sb (0.7500, 0.2500, 0.5000)  8 Cu 2.83, 4 Zn 2.85
Zn (0.2500, 0.7500, 0.5000)  8 Cu 2.83, 4 Sb 2.85